Entry 1:
Entry from Alexandria via LeMat-Bulk: an optimized crystal structure of Ba2Cd2Cu (PBE).

Structure (extended XYZ):
```
5
Lattice="-0.625 6.138 -2.799 -0.430 -2.842 -6.135 -4.535 1.417 -4.080" Properties=species:S:1:pos:R:3 pbc="T T T"
Ba -2.843 4.602 -5.673
Ba -2.746 0.112 -7.341
Cd -1.884 1.570 -4.336
Cd -3.705 3.144 -8.678
Cu 0.000 0.000 0.000
```

Values from the calculation:
The relative energy among the computed polymorphs is 39.0 kJ/mol of formula units. Its calculated density is 5.050 g/cm³. Its space group is I4/mmm. The magnetic moment is 0.0 Bohr magnetons per cell. Its density of states at the Fermi level is 6.541 states/eV/cell.

***

Entry 2:
Entry from Alexandria via LeMat-Bulk: an optimized crystal structure of BaCd4Cu (PBE).

Structure (extended XYZ):
```
6
Lattice="-3.065 -2.319 4.679 -4.954 -3.339 -0.983 0.115 -5.964 1.036" Properties=species:S:1:pos:R:3 pbc="T T T"
Cd -2.974 -4.373 1.780
Cd -2.917 -7.326 2.293
Cd -4.491 -5.521 4.096
Cd -5.426 -6.026 1.294
Ba 0.000 0.000 0.000
Cu -5.929 -8.717 3.549
```

Values from the calculation:
Its calculated density is 6.882 g/cm³. Its space group is F-43m. The magnetic moment is 0.0 Bohr magnetons per cell. Its density of states at the Fermi level is 4.124 states/eV/cell.

***

Entry 3:
Entry from Alexandria via LeMat-Bulk: an optimized crystal structure of BaCd2Cu (PBE).

Structure (extended XYZ):
```
4
Lattice="3.517 0.000 0.000 0.000 3.517 0.000 0.000 0.000 8.224" Properties=species:S:1:pos:R:3 pbc="T T T"
Cd 0.000 0.000 0.587
Cd 0.000 0.000 3.525
Cu 1.759 1.758 2.056
Ba 1.759 1.758 6.168
```

Values from the calculation:
Its calculated density is 6.949 g/cm³. Its space group is P4/mmm. The magnetic moment is 0.0 Bohr magnetons per cell. Its density of states at the Fermi level is 1.761 states/eV/cell.

***

Entry 4:
Entry from Alexandria via LeMat-Bulk: an optimized crystal structure of BaCd2Cu (PBE).

Structure (extended XYZ):
```
4
Lattice="6.809 -0.018 0.113 -4.028 5.490 0.113 1.273 2.505 3.362" Properties=species:S:1:pos:R:3 pbc="T T T"
Cu 4.041 1.244 1.738
Ba -1.378 3.997 1.738
Cd 0.000 0.000 0.000
Cd 1.390 2.736 0.113
```

Values from the calculation:
Its calculated density is 5.814 g/cm³. Its space group is C2/m. The magnetic moment is 0.0 Bohr magnetons per cell. Its density of states at the Fermi level is 2.596 states/eV/cell.

***

Entry 5:
Entry from Alexandria via LeMat-Bulk: an optimized crystal structure of BaCd2Cu (PBE).

Structure (extended XYZ):
```
4
Lattice="4.512 0.000 0.000 0.000 4.061 0.004 0.000 1.963 6.373" Properties=species:S:1:pos:R:3 pbc="T T T"
Cu 0.000 2.246 2.858
Ba 2.256 4.288 4.438
Cd 2.256 2.265 1.485
Cd 0.000 4.301 0.788
```

Values from the calculation:
Its calculated density is 6.056 g/cm³. Its space group is Pm. The magnetic moment is 0.0 Bohr magnetons per cell. Its density of states at the Fermi level is 2.626 states/eV/cell.

***

Entry 6:
Entry from Alexandria via LeMat-Bulk: an optimized crystal structure of BaCd3Cu (PBE).

Structure (extended XYZ):
```
5
Lattice="-1.772 3.016 5.788 2.422 -5.265 3.485 6.061 2.986 0.299" Properties=species:S:1:pos:R:3 pbc="T T T"
Ba 0.000 0.000 0.000
Cu 3.355 0.368 4.786
Cd -0.886 1.508 2.894
Cd 3.030 1.493 0.150
Cd 1.211 -2.633 1.743
```

Values from the calculation:
The relative energy among the computed polymorphs is 543.8 kJ/mol of formula units. Its calculated density is 2.889 g/cm³. Its space group is Pm-3m. The magnetic moment is 0.0 Bohr magnetons per cell. Its density of states at the Fermi level is 4.020 states/eV/cell.

***

Entry 7:
Entry from Alexandria via LeMat-Bulk: an optimized crystal structure of BaCd2Cu (PBE).

Structure (extended XYZ):
```
4
Lattice="4.737 0.000 0.000 0.000 5.081 -0.164 0.000 1.752 4.770" Properties=species:S:1:pos:R:3 pbc="T T T"
Cu 2.369 1.708 1.152
Cd 0.000 2.895 1.954
Cd 0.000 0.522 0.349
Ba 2.369 5.125 3.455
```

Values from the calculation:
Its calculated density is 6.084 g/cm³. Its space group is Cmmm. The magnetic moment is 0.0 Bohr magnetons per cell. Its density of states at the Fermi level is 2.298 states/eV/cell.

***

Entry 8:
Entry from Alexandria via LeMat-Bulk: an optimized crystal structure of BaCd2Cu (PBE).

Structure (extended XYZ):
```
8
Lattice="-5.020 -0.889 -1.824 -0.265 -4.539 2.941 -6.054 2.062 7.621" Properties=species:S:1:pos:R:3 pbc="T T T"
Ba -6.858 -0.770 3.178
Ba 0.000 0.000 0.000
Cd -3.386 -2.623 3.123
Cd -9.108 -2.227 6.061
Cd -3.604 -0.416 1.525
Cd -6.579 -1.465 6.767
Cu -4.481 -2.595 5.560
Cu -2.642 -2.714 0.558
```

Values from the calculation:
Its calculated density is 5.251 g/cm³. Its space group is I-42d. The magnetic moment is 0.0 Bohr magnetons per cell. Its density of states at the Fermi level is 6.449 states/eV/cell.

***

Formation energy list, top to bottom, in eV/atom: 0.05; 0.03; -0.01; 0.17; -0.05; 0.95; -0.08; 0.02
Energy list, top to bottom, in eV per atom: -1.900; -1.581; -1.976; -1.792; -2.013; -0.800; -2.039; -1.946